Entry from Alexandria via LeMat-Bulk: crystalline NaCrF4 at its relaxed geometry (GGA+U).

Values from the calculation:
Theoretical density in g/cm³: 3.7
Total DFT energy (no corrections) in eV/atom: -5.1918

```
data_NaCrF4
_cell_length_a 5.1688
_cell_length_b 5.1688
_cell_length_c 10.1228
_cell_angle_alpha 90.00
_cell_angle_beta 90.00
_cell_angle_gamma 90.00
_symmetry_space_group_name_H-M 'I 41/a m d'
_symmetry_Int_Tables_number 141
loop_
_symmetry_equiv_pos_as_xyz
'x,y,z'
'-x,-y,-z'
'-y+1/4,x+3/4,z+1/4'
'y+1/4,-x+3/4,-z+1/4'
'-x+1/2,-y,z+1/2'
'x+1/2,y,-z+1/2'
'y+1/4,-x+1/4,z+3/4'
'-y+1/4,x+1/4,-z+3/4'
'x,-y,-z'
'-x,y,z'
'-y+1/4,-x+1/4,-z+3/4'
'y+1/4,x+1/4,z+3/4'
'-x+1/2,y,-z+1/2'
'x+1/2,-y,z+1/2'
'y+1/4,x+3/4,-z+1/4'
'-y+1/4,-x+3/4,z+1/4'
'x+1/2,y+1/2,z+1/2'
'-x+1/2,-y+1/2,-z+1/2'
'-y+3/4,x+1/4,z+3/4'
'y+3/4,-x+1/4,-z+3/4'
'-x,-y+1/2,z'
'x,y+1/2,-z'
'y+3/4,-x+3/4,z+1/4'
'-y+3/4,x+3/4,-z+1/4'
'x+1/2,-y+1/2,-z+1/2'
'-x+1/2,y+1/2,z+1/2'
'-y+3/4,-x+3/4,-z+1/4'
'y+3/4,x+3/4,z+1/4'
'-x,y+1/2,-z'
'x,-y+1/2,z'
'y+3/4,x+1/4,-z+3/4'
'-y+3/4,-x+1/4,z+3/4'
loop_
_atom_site_label
_atom_site_type_symbol
_atom_site_fract_x
_atom_site_fract_y
_atom_site_fract_z
_atom_site_occupancy
Na1 Na 0.0000 0.2500 0.3750 1
Cr1 Cr 0.0000 0.2500 0.8750 1
F1 F 0.2213 0.0000 0.0000 1
```